Cs2HoCo3F12 after structural relaxation, computed with GGA+U.

Properties
size of the total moment = 30.0 μB/cell
final energy = -279.06 eV for the cell shown

Cell: 7.5146 7.5146 19.0485 Å, 90.00 90.00 120.00°
Space group R-3m (No. 166, hexagonal axes)
Asymmetric unit:
Cs 0.0000 0.0000 0.1112 [6 per cell]
Ho 0.0000 0.0000 0.5000 [3 per cell]
Co 0.0000 0.5000 0.0000 [9 per cell]
F 0.0510 0.5255 0.1056 [18 per cell]
F 0.0723 0.5361 0.3465 [18 per cell]